Record 1
# PBE PmPd6Au, optimized geometry
data_PmPd6Au
_chemical_formula_sum 'Pm1 Pd6 Au1'
_cell_length_a 5.210
_cell_length_b 5.210
_cell_length_c 5.210
_cell_angle_alpha 90.00
_cell_angle_beta 90.00
_cell_angle_gamma 90.00
_space_group_name_H-M_alt 'P 1'
_space_group_IT_number 1
loop_
_space_group_symop_operation_xyz
'x,y,z'
loop_
_atom_site_label
_atom_site_fract_x
_atom_site_fract_y
_atom_site_fract_z
Pd1 0.500 0.245 0.000
Pd2 0.245 0.000 0.500
Pd3 0.000 0.500 0.245
Pd4 0.500 0.755 0.000
Pd5 0.000 0.500 0.755
Pd6 0.755 0.000 0.500
Au1 0.000 0.000 0.000
Pm1 0.500 0.500 0.500
# total DFT energy (no corrections): -41.20 eV/cell
# ΔE_f: -2.0 eV per formula unit
# DOS at the Fermi energy: 4.88 states/eV per cell
# E above lowest polymorph: 14.5 kJ per mole of atoms
# symmetry: Pm-3, No. 200



Record 2
# PBE Cu2W, optimized geometry
data_Cu2W
_chemical_formula_sum 'Cu4 W2'
_cell_length_a 6.150
_cell_length_b 6.150
_cell_length_c 3.370
_cell_angle_alpha 90.00
_cell_angle_beta 90.00
_cell_angle_gamma 140.27
_space_group_name_H-M_alt 'P 1'
_space_group_IT_number 1
loop_
_space_group_symop_operation_xyz
'x,y,z'
loop_
_atom_site_label
_atom_site_fract_x
_atom_site_fract_y
_atom_site_fract_z
Cu1 0.740 0.260 0.750
Cu2 0.581 0.419 0.250
Cu3 0.260 0.740 0.250
Cu4 0.419 0.581 0.750
W1 0.082 0.918 0.750
W2 0.918 0.082 0.250
# total DFT energy (no corrections): -40.56 eV/cell
# ΔE_f: 0.9 eV per formula unit
# DOS at the Fermi energy: 2.11 states/eV per cell
# symmetry: Cmcm, No. 63



Record 3
# PBE AcAl3AgAu, optimized geometry
data_AcAl3AgAu
_chemical_formula_sum 'Ac2 Al6 Ag2 Au2'
_cell_length_a 6.166
_cell_length_b 6.498
_cell_length_c 7.412
_cell_angle_alpha 116.00
_cell_angle_beta 90.00
_cell_angle_gamma 90.00
_space_group_name_H-M_alt 'P 1'
_space_group_IT_number 1
loop_
_space_group_symop_operation_xyz
'x,y,z'
loop_
_atom_site_label
_atom_site_fract_x
_atom_site_fract_y
_atom_site_fract_z
Au1 0.750 0.650 0.300
Au2 0.250 0.350 0.700
Al1 0.750 0.861 0.723
Al2 0.500 0.298 0.000
Al3 0.250 0.139 0.277
Al4 0.000 0.702 0.000
Al5 0.000 0.298 0.000
Al6 0.500 0.702 0.000
Ag1 0.750 0.066 0.132
Ag2 0.250 0.934 0.868
Ac1 0.250 0.711 0.422
Ac2 0.750 0.289 0.578
# total DFT energy (no corrections): -45.30 eV/cell
# ΔE_f: -1.2 eV per formula unit
# DOS at the Fermi energy: 6.41 states/eV per cell
# symmetry: Cmcm, No. 63



Record 4
# PBE LiDyBr2, optimized geometry
data_LiDyBr2
_chemical_formula_sum 'Li1 Dy1 Br2'
_cell_length_a 3.880
_cell_length_b 3.880
_cell_length_c 8.904
_cell_angle_alpha 77.42
_cell_angle_beta 77.42
_cell_angle_gamma 60.00
_space_group_name_H-M_alt 'P 1'
_space_group_IT_number 1
loop_
_space_group_symop_operation_xyz
'x,y,z'
loop_
_atom_site_label
_atom_site_fract_x
_atom_site_fract_y
_atom_site_fract_z
Dy1 0.000 0.000 0.000
Br1 0.892 0.892 0.323
Br2 0.108 0.108 0.677
Li1 0.500 0.500 0.500
# total DFT energy (no corrections): -14.63 eV/cell
# DOS at the Fermi energy: 0.37 states/eV per cell
# ΔE_f (raw): -4.8 eV/f.u.
# symmetry: R-3m, No. 166



Record 5
# PBE Y6Tl2Te3Pb, optimized geometry
data_Y6Tl2Te3Pb
_chemical_formula_sum 'Y6 Tl2 Te3 Pb1'
_cell_length_a 4.405
_cell_length_b 8.822
_cell_length_c 10.147
_cell_angle_alpha 111.49
_cell_angle_beta 102.54
_cell_angle_gamma 90.00
_space_group_name_H-M_alt 'P 1'
_space_group_IT_number 1
loop_
_space_group_symop_operation_xyz
'x,y,z'
loop_
_atom_site_label
_atom_site_fract_x
_atom_site_fract_y
_atom_site_fract_z
Y1 0.670 0.137 0.340
Y2 0.009 0.251 0.019
Y3 0.661 0.637 0.321
Y4 0.339 0.363 0.679
Y5 0.330 0.863 0.660
Y6 0.991 0.749 0.981
Te1 0.163 0.880 0.327
Te2 0.500 0.500 0.000
Te3 0.837 0.120 0.673
Pb1 0.500 0.000 0.000
Tl1 0.812 0.592 0.624
Tl2 0.188 0.408 0.376
# total DFT energy (no corrections): -67.28 eV/cell
# DOS at the Fermi energy: 4.76 states/eV per cell
# ΔE_f (raw): -10.6 eV/f.u.
# symmetry: C2/m, No. 12



Record 6
# PBE Mg2TaP, optimized geometry
data_Mg2TaP
_chemical_formula_sum 'Mg2 Ta1 P1'
_cell_length_a 3.294
_cell_length_b 3.294
_cell_length_c 7.024
_cell_angle_alpha 90.00
_cell_angle_beta 90.00
_cell_angle_gamma 90.00
_space_group_name_H-M_alt 'P 1'
_space_group_IT_number 1
loop_
_space_group_symop_operation_xyz
'x,y,z'
loop_
_atom_site_label
_atom_site_fract_x
_atom_site_fract_y
_atom_site_fract_z
P1 0.000 0.000 0.555
Ta1 0.500 0.500 0.694
Mg1 0.000 0.000 0.970
Mg2 0.500 0.500 0.281
# total DFT energy (no corrections): -21.26 eV/cell
# ΔE_f: -0.8 eV per formula unit
# DOS at the Fermi energy: 1.93 states/eV per cell
# symmetry: P4mm, No. 99